1.
Crystalline MgBeW2F at its relaxed geometry, computed with PBE with a Hubbard U.

The structure in POSCAR format:
```
MgBeW2F
1.0
4.986 0.000 0.000
0.000 4.986 0.000
0.000 0.000 3.294
Mg Be W F
1 1 2 1
Cartesian
0.000 0.000 0.000
2.493 2.493 1.647
0.000 2.493 1.647
2.493 0.000 1.647
2.493 2.493 0.000
```

Summary:
Its calculated density is 8.5 g/cm³. The magnetic moment comes out at 0.78 μB per atom. Its total energy is -0.25705 Ry per atom.


2.
Crystalline Mn2BeF at its relaxed geometry, computed with PBE with a Hubbard U.

The structure in POSCAR format:
```
Mn2BeF
1.0
0.000 3.035 3.035
3.035 0.000 3.035
3.035 3.035 0.000
Mn Be F
2 1 1
Cartesian
1.517 1.517 1.517
4.552 4.552 4.552
0.000 0.000 0.000
3.035 3.035 3.035
```

Summary:
Its calculated density is 4.1 g/cm³. The distance to the lowest polymorph of the same formula is 208 meV/atom. The magnetic moment comes out at 2.02 μB per atom.


3.
Crystalline MnBeF2 at its relaxed geometry, computed with PBE with a Hubbard U.

The structure in POSCAR format:
```
MnBeF2
1.0
0.000 3.793 3.793
3.793 0.000 3.793
3.793 3.793 0.000
Mn Be F
2 2 4
Cartesian
0.948 0.948 0.948
6.638 6.638 6.638
2.845 2.845 2.845
4.742 4.742 4.742
3.793 1.897 1.897
1.897 3.793 1.897
1.897 1.897 3.793
3.793 3.793 3.793
```

Summary:
Its calculated density is 3.1 g/cm³. The distance to the lowest polymorph of the same formula is 0 meV/atom. The magnetic moment comes out at 1.26 μB per atom.


4.
Crystalline MnBe2F at its relaxed geometry, computed with PBE with a Hubbard U.

The structure in POSCAR format:
```
MnBe2F
1.0
-2.710 2.710 3.309
2.710 -2.710 3.309
2.710 2.710 -3.309
Mn Be F
2 4 2
Cartesian
0.000 0.000 0.000
0.000 2.710 1.655
1.355 -0.794 2.482
1.916 1.355 0.827
1.355 3.505 -0.827
0.794 1.355 4.136
2.710 0.000 1.655
0.000 0.000 3.309
```

Summary:
Its calculated density is 3.1 g/cm³. The distance to the lowest polymorph of the same formula is 0 meV/atom. The magnetic moment comes out at 0.99 μB per atom.


5.
Crystalline MnBe2F6 at its relaxed geometry, computed with PBE with a Hubbard U.

The structure in POSCAR format:
```
MnBe2F6
1.0
4.926 -4.574 0.000
4.926 4.574 0.000
-1.690 0.000 4.949
Mn Be F
2 4 12
Cartesian
3.659 3.468 3.712
4.504 -3.468 1.237
1.640 0.717 3.814
2.485 -0.717 1.339
5.677 0.717 3.610
6.522 -0.717 1.135
0.135 0.604 3.267
2.081 2.176 3.983
0.980 -0.604 0.793
2.540 0.038 2.709
3.385 -0.038 0.235
5.236 2.176 3.441
2.926 -2.176 1.508
4.777 0.038 4.714
5.622 -0.038 2.240
7.183 0.604 4.156
6.081 -2.176 0.967
8.027 -0.604 1.682
```

Summary:
Its calculated density is 2.8 g/cm³. The magnetic moment comes out at 0.56 μB per atom. Its total energy is -0.43868 Ry per atom.


6.
Crystalline Mn2BeF at its relaxed geometry, computed with PBE with a Hubbard U.

The structure in POSCAR format:
```
Mn2BeF
1.0
-3.085 3.085 3.229
3.085 -3.085 3.229
3.085 3.085 -3.229
Mn Be F
4 2 2
Cartesian
4.627 1.363 -0.807
1.363 1.542 0.807
-1.542 1.721 2.422
1.721 1.542 4.036
3.085 0.000 1.615
0.000 0.000 3.229
0.000 0.000 0.000
0.000 3.085 1.615
```

Summary:
Its calculated density is 3.7 g/cm³. The distance to the lowest polymorph of the same formula is 0 meV/atom. The magnetic moment comes out at 2.25 μB per atom.


Please write out number 3 again, unchanged.
Crystalline MnBeF2 at its relaxed geometry, computed with PBE with a Hubbard U.

The structure in POSCAR format:
```
MnBeF2
1.0
0.000 3.793 3.793
3.793 0.000 3.793
3.793 3.793 0.000
Mn Be F
2 2 4
Cartesian
0.948 0.948 0.948
6.638 6.638 6.638
2.845 2.845 2.845
4.742 4.742 4.742
3.793 1.897 1.897
1.897 3.793 1.897
1.897 1.897 3.793
3.793 3.793 3.793
```

Summary:
Its calculated density is 3.1 g/cm³. The distance to the lowest polymorph of the same formula is 0 meV/atom. The magnetic moment comes out at 1.26 μB per atom.